(1)
The following is a DFT calculation (PBE-GGA) of crystalline Nd2MgSi3Rh4 at its relaxed geometry.

Cell lengths 4.1639, 4.1639, 10.2660 Å; angles 90.00, 90.00, 90.00 degrees
Fractional positions:
Nd1 0.5000 0.0000 0.2464
Nd2 0.0000 0.5000 0.7536
Mg1 0.5000 0.5000 0.5000
Si1 0.0000 0.0000 0.5000
Si2 0.5000 0.0000 0.8768
Si3 0.0000 0.5000 0.1232
Rh1 0.5000 0.5000 0.0000
Rh2 0.0000 0.0000 0.0000
Rh3 0.5000 0.0000 0.6417
Rh4 0.0000 0.5000 0.3583

Results
Symmetry = No. 115
E_tot = -66.21 eV for the cell shown
DOS(E_F) = 0.69 states/eV per atom


(2)
The following is a DFT calculation (PBE-GGA) of crystalline Nd2MgSn4Rh3 at its relaxed geometry.

Cell lengths 4.4685, 4.4685, 11.3067 Å; angles 90.00, 90.00, 90.00 degrees
Fractional positions:
Nd1 0.5000 0.0000 0.2388
Nd2 0.0000 0.5000 0.7612
Mg1 0.5000 0.5000 0.5000
Sn1 0.5000 0.5000 0.0000
Sn2 0.0000 0.0000 0.0000
Sn3 0.5000 0.0000 0.6444
Sn4 0.0000 0.5000 0.3556
Rh1 0.0000 0.0000 0.5000
Rh2 0.5000 0.0000 0.8732
Rh3 0.0000 0.5000 0.1268

Results
E_form = -0.6448 eV/atom
Symmetry = No. 115
E_tot = -55.64 eV for the cell shown
DOS(E_F) = 0.48 states/eV per atom


(3)
The following is a DFT calculation (PBE-GGA) of crystalline Nd2MgSn3Rh4 at its relaxed geometry.

Cell lengths 4.3955, 4.3955, 11.0744 Å; angles 90.00, 90.00, 90.00 degrees
Fractional positions:
Nd1 0.5000 0.0000 0.2449
Nd2 0.0000 0.5000 0.7551
Mg1 0.5000 0.5000 0.5000
Sn1 0.0000 0.0000 0.5000
Sn2 0.5000 0.0000 0.8697
Sn3 0.0000 0.5000 0.1303
Rh1 0.5000 0.5000 0.0000
Rh2 0.0000 0.0000 0.0000
Rh3 0.5000 0.0000 0.6355
Rh4 0.0000 0.5000 0.3645

Results
E_form = -0.6892 eV/atom
Symmetry = No. 115
E_tot = -59.44 eV for the cell shown
DOS(E_F) = 0.72 states/eV per atom


(4)
The following is a DFT calculation (PBE-GGA) of crystalline Nd2Mg2SnRh5 at its relaxed geometry.

Cell lengths 3.6034, 10.1400, 10.1400 Å; angles 90.00, 90.00, 90.00 degrees
Fractional positions:
Nd1 0.0000 0.6757 0.1757
Nd2 0.0000 0.3243 0.8243
Nd3 0.0000 0.1757 0.3243
Nd4 0.0000 0.8243 0.6757
Mg1 0.0000 0.1235 0.6235
Mg2 0.0000 0.8765 0.3765
Mg3 0.0000 0.6235 0.8765
Mg4 0.0000 0.3765 0.1235
Sn1 0.0000 0.0000 0.0000
Sn2 0.0000 0.5000 0.5000
Rh1 0.5000 0.2014 0.0605
Rh2 0.5000 0.7986 0.9395
Rh3 0.5000 0.0605 0.7986
Rh4 0.5000 0.7014 0.4395
Rh5 0.5000 0.9395 0.2014
Rh6 0.5000 0.2986 0.5605
Rh7 0.5000 0.5605 0.7014
Rh8 0.5000 0.4395 0.2986
Rh9 0.5000 0.5000 0.0000
Rh10 0.5000 0.0000 0.5000

Results
E_form = -0.4881 eV/atom
Symmetry = No. 127
E_tot = -116.73 eV for the cell shown
DOS(E_F) = 0.54 states/eV per atom


(5)
The following is a DFT calculation (PBE-GGA) of crystalline NdTm2MgRh4 at its relaxed geometry.

Cell lengths 4.7384, 4.7384, 8.2927 Å; angles 73.40, 73.40, 60.00 degrees
Fractional positions:
Nd1 0.0000 0.0000 0.0000
Tm1 0.7571 0.7571 0.7287
Tm2 0.2429 0.2429 0.2713
Mg1 0.5000 0.5000 0.5000
Rh1 0.3793 0.3793 0.8621
Rh2 0.8738 0.8738 0.3785
Rh3 0.1262 0.1262 0.6215
Rh4 0.6207 0.6207 0.1379

Results
E_form = -0.7777 eV/atom
Symmetry = No. 166
E_tot = -50.93 eV for the cell shown
DOS(E_F) = 0.35 states/eV per atom


(6)
The following is a DFT calculation (PBE-GGA) of crystalline NdYMgRh at its relaxed geometry.

Cell lengths 5.1455, 5.1455, 5.1455 Å; angles 60.00, 60.00, 60.00 degrees
Fractional positions:
Y1 0.5000 0.5000 0.5000
Rh1 0.2500 0.2500 0.2500
Mg1 0.7500 0.7500 0.7500
Nd1 0.0000 0.0000 0.0000

Results
E_form = -0.3507 eV/atom
Symmetry = No. 216
E_tot = -21.58 eV for the cell shown
DOS(E_F) = 0.47 states/eV per atom


(7)
The following is a DFT calculation (PBE-GGA) of crystalline NdMg2Ru at its relaxed geometry.

Cell lengths 5.5756, 7.8751, 8.1464 Å; angles 90.00, 90.00, 90.00 degrees
Fractional positions:
Nd1 0.5899 0.5378 0.2500
Nd2 0.9101 0.0378 0.2500
Nd3 0.4101 0.4622 0.7500
Nd4 0.0899 0.9622 0.7500
Mg1 0.0959 0.6659 0.0576
Mg2 0.4041 0.1659 0.4424
Mg3 0.9041 0.3341 0.5576
Mg4 0.5959 0.8341 0.9424
Mg5 0.9041 0.3341 0.9424
Mg6 0.5959 0.8341 0.5576
Mg7 0.0959 0.6659 0.4424
Mg8 0.4041 0.1659 0.0576
Ru1 0.1231 0.3707 0.2500
Ru2 0.3769 0.8707 0.2500
Ru3 0.8769 0.6293 0.7500
Ru4 0.6231 0.1293 0.7500

Results
E_form = -0.1706 eV/atom
Symmetry = No. 62
E_tot = -71.66 eV for the cell shown
DOS(E_F) = 0.58 states/eV per atom


(8)
The following is a DFT calculation (PBE-GGA) of crystalline Nd4MgRu at its relaxed geometry.

Cell lengths 6.1762, 7.5835, 9.2301 Å; angles 114.26, 109.62, 90.00 degrees
Fractional positions:
Nd1 0.1799 0.6791 0.3582
Nd2 0.3818 0.1377 0.7645
Nd3 0.0000 0.2073 0.0000
Nd4 0.6182 0.3732 0.2355
Nd5 0.8201 0.3209 0.6418
Nd6 0.6182 0.8623 0.2355
Nd7 0.0000 0.7927 0.0000
Nd8 0.3818 0.6268 0.7645
Mg1 0.8053 0.8039 0.6079
Mg2 0.1947 0.1961 0.3921
Ru1 0.2590 0.5000 0.0000
Ru2 0.7410 0.5000 0.0000

Results
E_form = -0.0962 eV/atom
Symmetry = No. 12
E_tot = -61.04 eV for the cell shown
DOS(E_F) = 1.27 states/eV per atom


(9)
The following is a DFT calculation (PBE-GGA) of crystalline NdMgRu at its relaxed geometry.

Cell lengths 6.1439, 6.8370, 7.4259 Å; angles 90.00, 90.00, 116.70 degrees
Fractional positions:
Ru1 0.6036 0.2073 0.5424
Ru2 0.8964 0.7927 0.0424
Ru3 0.3964 0.7927 0.4576
Ru4 0.1036 0.2073 0.9576
Mg1 0.2948 0.0897 0.2500
Mg2 0.2052 0.9103 0.7500
Mg3 0.7052 0.9103 0.7500
Mg4 0.7948 0.0897 0.2500
Nd1 0.8044 0.6088 0.3926
Nd2 0.6956 0.3912 0.8926
Nd3 0.1956 0.3912 0.6074
Nd4 0.3044 0.6088 0.1074

Results
E_form = -0.1120 eV/atom
Symmetry = No. 64
E_tot = -63.90 eV for the cell shown
DOS(E_F) = 0.79 states/eV per atom


(10)
The following is a DFT calculation (PBE-GGA) of crystalline NdMg3Ru at its relaxed geometry.

Cell lengths 5.4433, 5.4433, 9.9874 Å; angles 105.81, 105.81, 90.00 degrees
Fractional positions:
Nd1 0.5427 0.0427 0.0853
Nd2 0.9573 0.4573 0.9147
Mg1 0.6179 0.8694 0.7389
Mg2 0.1306 0.8791 0.2611
Mg3 0.1306 0.3821 0.2611
Mg4 0.1209 0.8694 0.7389
Mg5 0.2830 0.2830 0.5659
Mg6 0.7170 0.7170 0.4340
Ru1 0.0000 0.0000 0.0000
Ru2 0.2500 0.7500 0.5000

Results
E_form = 0.0897 eV/atom
Symmetry = No. 119
E_tot = -36.76 eV for the cell shown
DOS(E_F) = 0.59 states/eV per atom


(11)
The following is a DFT calculation (PBE-GGA) of crystalline NdMg2Ru at its relaxed geometry.

Cell lengths 5.5087, 8.3199, 15.6858 Å; angles 90.00, 90.00, 90.00 degrees
Fractional positions:
Nd1 0.4468 0.2500 0.1394
Nd2 0.9468 0.7500 0.3606
Nd3 0.5532 0.7500 0.8606
Nd4 0.0532 0.2500 0.6394
Nd5 0.7531 0.2500 0.3938
Nd6 0.2531 0.7500 0.1062
Nd7 0.2469 0.7500 0.6062
Nd8 0.7469 0.2500 0.8938
Mg1 0.9535 0.0567 0.2104
Mg2 0.4535 0.9433 0.2896
Mg3 0.0465 0.5567 0.7896
Mg4 0.5465 0.4433 0.7104
Mg5 0.0465 0.9433 0.7896
Mg6 0.5465 0.0567 0.7104
Mg7 0.9535 0.4433 0.2104
Mg8 0.4535 0.5567 0.2896
Mg9 0.7702 0.5590 0.0415
Mg10 0.2702 0.4410 0.4585
Mg11 0.2298 0.0590 0.9585
Mg12 0.7298 0.9410 0.5415
Mg13 0.2298 0.4410 0.9585
Mg14 0.7298 0.5590 0.5415
Mg15 0.7702 0.9410 0.0415
Mg16 0.2702 0.0590 0.4585
Ru1 0.2411 0.2500 0.3121
Ru2 0.7411 0.7500 0.1879
Ru3 0.7589 0.7500 0.6879
Ru4 0.2589 0.2500 0.8121
Ru5 0.9539 0.2500 0.0656
Ru6 0.4539 0.7500 0.4344
Ru7 0.0461 0.7500 0.9344
Ru8 0.5461 0.2500 0.5656

Results
E_form = -0.1514 eV/atom
Symmetry = No. 62
E_tot = -142.71 eV for the cell shown
DOS(E_F) = 0.75 states/eV per atom


(12)
The following is a DFT calculation (PBE-GGA) of crystalline Nd6MgRu2 at its relaxed geometry.

Cell lengths 5.2693, 5.8493, 9.4104 Å; angles 79.41, 90.00, 116.77 degrees
Fractional positions:
Nd1 0.9610 0.9219 0.8493
Nd2 0.7084 0.4167 0.1646
Nd3 0.2916 0.5833 0.8354
Nd4 0.6593 0.3187 0.6199
Nd5 0.3407 0.6813 0.3801
Nd6 0.0390 0.0781 0.1507
Mg1 0.0000 0.0000 0.5000
Ru1 0.6124 0.2248 0.9047
Ru2 0.3876 0.7752 0.0953

Results
E_form = -0.0947 eV/atom
Symmetry = No. 12
E_tot = -49.61 eV for the cell shown
DOS(E_F) = 0.96 states/eV per atom


(13)
The following is a DFT calculation (PBE-GGA) of crystalline NdMgRu4 at its relaxed geometry.

Cell lengths 5.3081, 5.3081, 5.3081 Å; angles 60.00, 60.00, 60.00 degrees
Fractional positions:
Ru1 0.6256 0.6256 0.1231
Ru2 0.6256 0.1231 0.6256
Ru3 0.6256 0.6256 0.6256
Ru4 0.1231 0.6256 0.6256
Mg1 0.0000 0.0000 0.0000
Nd1 0.2500 0.2500 0.2500

Results
E_form = 0.0040 eV/atom
Symmetry = No. 216
E_tot = -43.44 eV for the cell shown
DOS(E_F) = 1.61 states/eV per atom


(14)
The following is a DFT calculation (PBE-GGA) of crystalline NdMgRu at its relaxed geometry.

Cell lengths 3.6290, 4.6034, 4.6034 Å; angles 120.00, 90.00, 90.00 degrees
Fractional positions:
Ru1 0.1659 0.0000 0.0000
Mg1 0.1671 0.6667 0.3333
Nd1 0.6670 0.3333 0.6667

Results
E_form = 0.0184 eV/atom
Symmetry = No. 187
E_tot = -15.58 eV for the cell shown
DOS(E_F) = 0.51 states/eV per atom


(15)
The following is a DFT calculation (PBE-GGA) of crystalline Nd2MgRu at its relaxed geometry.

Cell lengths 3.9415, 3.9415, 10.5837 Å; angles 79.27, 79.27, 60.00 degrees
Fractional positions:
Ru1 0.5000 0.5000 0.5000
Mg1 0.0000 0.0000 0.0000
Nd1 0.1147 0.1147 0.6558
Nd2 0.8853 0.8853 0.3442

Results
E_form = 0.1704 eV/atom
Symmetry = No. 166
E_tot = -19.72 eV for the cell shown
DOS(E_F) = 0.73 states/eV per atom


(16)
The following is a DFT calculation (PBE-GGA) of crystalline Nd2Mg3Ru2 at its relaxed geometry.

Cell lengths 4.4832, 5.6996, 6.9700 Å; angles 98.99, 90.00, 113.16 degrees
Fractional positions:
Nd1 0.6299 0.2598 0.3622
Nd2 0.3701 0.7402 0.6378
Mg1 0.3192 0.6384 0.1384
Mg2 0.0000 0.0000 0.0000
Mg3 0.6808 0.3616 0.8616
Ru1 0.0813 0.1625 0.6478
Ru2 0.9187 0.8375 0.3522

Results
E_form = -0.1590 eV/atom
Symmetry = No. 12
E_tot = -33.98 eV for the cell shown
DOS(E_F) = 0.64 states/eV per atom


(17)
The following is a DFT calculation (PBE-GGA) of crystalline NdMg11Ru at its relaxed geometry.

Cell lengths 5.6902, 7.7040, 7.7246 Å; angles 82.26, 68.39, 68.55 degrees
Fractional positions:
Nd1 0.0000 0.0000 0.0000
Mg1 0.3032 0.2233 0.2044
Mg2 0.6968 0.7767 0.7956
Mg3 0.4923 0.7767 0.2044
Mg4 0.5077 0.2233 0.7956
Mg5 0.3668 0.6367 0.6682
Mg6 0.6332 0.3634 0.3318
Mg7 0.9649 0.3634 0.6682
Mg8 0.0351 0.6367 0.3318
Mg9 0.0000 0.5000 0.0000
Mg10 0.5000 0.0000 0.5000
Mg11 0.0000 0.0000 0.5000
Ru1 0.5000 0.5000 0.0000

Results
E_form = -0.0500 eV/atom
Symmetry = No. 12
E_tot = -32.23 eV for the cell shown
DOS(E_F) = 0.64 states/eV per atom


(18)
The following is a DFT calculation (PBE-GGA) of crystalline Nd6MgRu2 at its relaxed geometry.

Cell lengths 8.7861, 8.7861, 8.7861 Å; angles 104.81, 110.76, 112.95 degrees
Fractional positions:
Nd1 0.5325 0.7151 0.8174
Nd2 0.4675 0.2849 0.1826
Nd3 0.1023 0.2849 0.8174
Nd4 0.8977 0.7151 0.1826
Nd5 0.7965 0.7624 0.5589
Nd6 0.2035 0.2376 0.4411
Nd7 0.2035 0.7624 0.9659
Nd8 0.7965 0.2376 0.0341
Nd9 0.6854 0.3611 0.6758
Nd10 0.3146 0.6389 0.3242
Nd11 0.3146 0.9904 0.6758
Nd12 0.6854 0.0096 0.3242
Mg1 0.0000 0.5000 0.5000
Mg2 0.0000 0.0000 0.0000
Ru1 0.5000 0.3758 0.8758
Ru2 0.5000 0.6242 0.1242
Ru3 0.6861 0.0000 0.6861
Ru4 0.3139 0.0000 0.3139

Results
E_form = -0.1726 eV/atom
Symmetry = No. 71
E_tot = -100.61 eV for the cell shown
DOS(E_F) = 0.95 states/eV per atom


(19)
The following is a DFT calculation (PBE-GGA) of crystalline Nd6Mg3Ru at its relaxed geometry.

Cell lengths 5.4061, 9.6282, 11.6277 Å; angles 90.00, 90.23, 90.00 degrees
Fractional positions:
Nd1 0.5033 0.1544 0.9253
Nd2 0.5020 0.1995 0.5889
Nd3 0.5028 0.4802 0.2664
Nd4 0.4972 0.5198 0.7336
Nd5 0.4980 0.8005 0.4111
Nd6 0.4967 0.8456 0.0747
Nd7 0.0033 0.3456 0.4253
Nd8 0.0020 0.3005 0.0889
Nd9 0.0028 0.0198 0.7664
Nd10 0.9972 0.9802 0.2336
Nd11 0.9980 0.6995 0.9111
Nd12 0.9967 0.6544 0.5747
Mg1 0.5022 0.8502 0.7189
Mg2 0.5000 0.5000 0.0000
Mg3 0.4978 0.1498 0.2811
Mg4 0.0022 0.6498 0.2189
Mg5 0.0000 0.0000 0.5000
Mg6 0.9978 0.3502 0.7811
Ru1 0.5000 0.5000 0.5000
Ru2 0.0000 0.0000 0.0000

Results
E_form = -0.0253 eV/atom
Symmetry = No. 14
E_tot = -85.84 eV for the cell shown
DOS(E_F) = 0.97 states/eV per atom


(20)
The following is a DFT calculation (PBE-GGA) of crystalline Nd4MgRu2 at its relaxed geometry.

Cell lengths 7.5329, 7.5042, 8.7691 Å; angles 126.31, 100.21, 94.16 degrees
Fractional positions:
Nd1 0.8434 0.0404 0.1579
Nd2 0.3358 0.5668 0.2200
Nd3 0.7353 0.6139 0.5787
Nd4 0.9887 0.2082 0.6689
Nd5 0.3614 0.1412 0.3592
Nd6 0.4987 0.0721 0.7442
Nd7 0.4287 0.6798 0.9131
Nd8 0.8319 0.5650 0.1627
Mg1 0.1452 0.5743 0.5367
Mg2 0.1546 0.0199 0.9287
Ru1 0.6899 0.4259 0.7610
Ru2 0.6425 0.9325 0.3845
Ru3 0.5360 0.2256 0.1330
Ru4 0.0579 0.6846 0.9515

Results
E_form = -0.1230 eV/atom
Symmetry = No. 1
E_tot = -80.16 eV for the cell shown
DOS(E_F) = 0.75 states/eV per atom